# 1
Below is a relaxed BaYMgNi2 crystal, with properties calculated at the GGA-PBE level.

Unit cell a=4.8426 b=5.4454 c=4.8426 alpha=90.00 beta=90.00 gamma=90.00
Fractional positions:
Ni: 0.5000 0.0000 0.0000
Ni: 0.0000 0.0000 0.5000
Ba: 0.0000 0.5000 0.0000
Y: 0.5000 0.5000 0.5000
Mg: 0.0000 0.0000 0.0000

**Formation energy from the elements**: 0.8600 eV/atom
**Symmetry**: P4/mmm, No. 123
**Size of the total moment**: 0.0000 μB per atom

---

# 2
Below is a relaxed ScTlHPd2 crystal, with properties calculated at the GGA-PBE level.

Unit cell a=4.2369 b=4.2369 c=4.2514 alpha=90.00 beta=90.00 gamma=90.00
Fractional positions:
H: 0.0000 0.0000 0.0000
Pd: 0.0000 0.5000 0.0000
Pd: 0.5000 0.0000 0.0000
Sc: 0.0000 0.0000 0.5000
Tl: 0.5000 0.5000 0.5000

**VASP energy**: -24.27 eV per cell
**Symmetry**: P4/mmm, No. 123
**Size of the total moment**: 0.0000 μB per atom

---

# 3
Below is a relaxed NaHfS2 crystal, with properties calculated at the GGA-PBE level.

Unit cell a=4.6082 b=4.6082 c=4.6082 alpha=60.00 beta=60.00 gamma=60.00
Each line ends with the local moment (μB).
Fractional positions:
S: 0.7500 0.7500 0.7500  -0.03
S: 0.2500 0.2500 0.2500  -0.03
Hf: 0.5000 0.5000 0.5000  0.53
Na: 0.0000 0.0000 0.0000  0.01

**Symmetry**: Fm-3m, No. 225
**ΔE_f (raw)**: -884 meV/atom
**Size of the total moment**: 0.2010 μB per atom

---

# 4
Below is a relaxed Al2InAg crystal, with properties calculated at the GGA-PBE level.

Unit cell a=4.3231 b=4.3231 c=9.5661 alpha=76.94 beta=76.94 gamma=90.00
Fractional positions:
In: 0.7500 0.2500 0.5000
In: 0.0000 0.0000 0.0000
Ag: 0.5000 0.5000 0.0000
Ag: 0.2500 0.7500 0.5000
Al: 0.3750 0.4114 0.7500
Al: 0.5886 0.1250 0.2500
Al: 0.1614 0.6250 0.2500
Al: 0.8750 0.8386 0.7500

**Formation energy from the elements**: 0.1631 eV/atom
**Symmetry**: I-42d, No. 122
**Size of the total moment**: 0.0000 μB per atom